[1]
A relaxed structure of Mg2CdWN4. Source: Alexandria, functional PBE.

Cell lengths 6.9402, 5.8848, 5.5003 Å; angles 90.00, 90.00, 90.00 degrees
Atoms (fractional coordinates):
Mg: 0.2477 0.1687 0.0000
Mg: 0.2523 0.8313 0.5000
Mg: 0.7477 0.8313 0.5000
Mg: 0.7523 0.1687 0.0000
Cd: 0.0000 0.3361 0.4995
Cd: 0.5000 0.6639 0.9995
W: 0.0000 0.6771 0.0048
W: 0.5000 0.3229 0.5048
N: 0.0000 0.3643 0.9182
N: 0.0000 0.7022 0.3451
N: 0.2188 0.8298 0.8826
N: 0.2812 0.1702 0.3826
N: 0.5000 0.2978 0.8451
N: 0.5000 0.6357 0.4182
N: 0.7188 0.1702 0.3826
N: 0.7812 0.8298 0.8826

Values from the calculation:
Space group: Pmn2_1 (31)
Total magnetic moment in μB per formula unit: 0.00
Formation energy without anion corrections in kJ/mol of formula units: -455
Electronic total energy in eV/atom: -6.885


[2]
A relaxed structure of Na6MgCd5. Source: Alexandria, functional PBE.

Cell lengths 8.6800, 8.6800, 4.8155 Å; angles 105.93, 105.93, 103.05 degrees
Atoms (fractional coordinates):
Na: 0.0728 0.4093 0.7408
Na: 0.2351 0.2351 0.2350
Na: 0.4093 0.0728 0.7408
Na: 0.5907 0.9272 0.2592
Na: 0.7649 0.7649 0.7650
Na: 0.9272 0.5907 0.2592
Mg: 0.5000 0.5000 0.0000
Cd: 0.0000 0.0000 0.5000
Cd: 0.1779 0.8221 0.0000
Cd: 0.3439 0.6561 0.5000
Cd: 0.6561 0.3439 0.5000
Cd: 0.8221 0.1779 0.0000

Values from the calculation:
E_form in meV/atom: -42
Space group: C2/m (12)
Total magnetic moment in μB per formula unit: 0.00
Electronic total energy in eV/atom: -1.216


[3]
A relaxed structure of NaMg3Cd. Source: Alexandria, functional PBE.

Cell lengths 5.4908, 5.4908, 5.4908 Å; angles 90.00, 90.00, 90.00 degrees
Atoms (fractional coordinates):
Na: 0.0000 0.0000 0.0000
Mg: 0.0000 0.0000 0.5000
Mg: 0.0000 0.5000 0.0000
Mg: 0.5000 0.0000 0.0000
Cd: 0.5000 0.5000 0.5000

Values from the calculation:
E_form in meV/atom: 647
Space group: Pm-3m (221)
Total magnetic moment in μB per formula unit: 0.00
Offset from the most stable computed form in meV per atom: 619.8
Electronic total energy in eV/atom: -0.757


[4]
A relaxed structure of Na2MgCd. Source: Alexandria, functional PBE.

Cell lengths 4.5913, 18.1478, 3.3825 Å; angles 90.00, 90.00, 90.00 degrees
Atoms (fractional coordinates):
Na: 0.0000 0.1727 0.0000
Na: 0.0000 0.8273 0.0000
Na: 0.5000 0.3273 0.0000
Na: 0.5000 0.6727 0.0000
Mg: 0.0000 0.0000 0.0000
Mg: 0.5000 0.5000 0.0000
Cd: 0.0000 0.5000 0.5000
Cd: 0.5000 0.0000 0.5000

Values from the calculation:
E_form in meV/atom: 160
Space group: Cmmm (65)
Total magnetic moment in μB per formula unit: 0.00
Electronic total energy in eV/atom: -1.127


[5]
A relaxed structure of NaMgCd. Source: Alexandria, functional PBE.

Cell lengths 6.4968, 6.4968, 9.8025 Å; angles 90.00, 90.00, 90.00 degrees
Atoms (fractional coordinates):
Na: 0.2190 0.2190 0.0000
Na: 0.2810 0.7190 0.2500
Na: 0.7190 0.2810 0.7500
Na: 0.7810 0.7810 0.5000
Mg: 0.1456 0.1456 0.5000
Mg: 0.3544 0.6456 0.7500
Mg: 0.6456 0.3544 0.2500
Mg: 0.8544 0.8544 0.0000
Cd: 0.0513 0.9487 0.7500
Cd: 0.4487 0.4487 0.5000
Cd: 0.5513 0.5513 0.0000
Cd: 0.9487 0.0513 0.2500

Values from the calculation:
E_form in meV/atom: 196
Space group: P4_12_12 (92)
Total magnetic moment in μB per formula unit: 0.00
Offset from the most stable computed form in meV per atom: 261.2
Electronic total energy in eV/atom: -1.080


[6]
A relaxed structure of NaMgCd2. Source: Alexandria, functional PBE.

Cell lengths 4.2383, 4.2383, 22.0695 Å; angles 90.00, 90.00, 120.00 degrees
Atoms (fractional coordinates):
Na: 0.0000 0.0000 0.0000
Na: 0.3333 0.6667 0.6667
Na: 0.6667 0.3333 0.3333
Mg: 0.0000 0.0000 0.8311
Mg: 0.3333 0.6667 0.4977
Mg: 0.6667 0.3333 0.1644
Cd: 0.0000 0.0000 0.4246
Cd: 0.0000 0.0000 0.5729
Cd: 0.3333 0.6667 0.0913
Cd: 0.3333 0.6667 0.2396
Cd: 0.6667 0.3333 0.7580
Cd: 0.6667 0.3333 0.9062

Values from the calculation:
E_form in meV/atom: 118
Space group: R3m (160)
Total magnetic moment in μB per formula unit: 0.00
Electronic total energy in eV/atom: -1.068


Computed D(E_F), in the same sequence as the records: 0.00, 0.44, 0.49, 0.49, 0.47, 0.44 states/eV per atom.